The following is a GGA-PBE calculation of ScReW2 after structural relaxation, from the Alexandria database.

POSCAR file:
```
ScReW2
1.0
-2.528 0.554 3.741
2.168 -0.773 1.579
2.312 4.681 0.869
Re Sc W
1 1 2
Direct
0.500 0.250 0.250
0.500 0.750 0.750
0.000 0.023 0.001
0.000 0.477 0.499
```

Summary:
Calculated total energy: -11.111 eV/atom
Relative energy among the computed polymorphs: 79 meV per atom
Total magnetization: 0.0 Bohr magnetons per cell
E_form: 1.40 kcal/mol of atoms



The following is a GGA-PBE calculation of ReWAu2 after structural relaxation, from the Alexandria database.

POSCAR file:
```
ReWAu2
1.0
3.469 0.000 0.000
0.000 3.469 0.000
0.000 0.000 5.538
Au Re W
2 1 1
Direct
0.000 0.000 0.001
0.000 0.000 0.499
0.500 0.500 0.250
0.500 0.500 0.750
```

Summary:
Calculated total energy: -7.235 eV/atom
Relative energy among the computed polymorphs: 455 meV per atom
Total magnetization: 0.0 Bohr magnetons per cell
E_form: 17.38 kcal/mol of atoms



The following is a GGA-PBE calculation of BaMg8Zn2Cd after structural relaxation, from the Alexandria database.

POSCAR file:
```
BaMg8Zn2Cd
1.0
-3.442 0.275 3.969
-2.212 -4.708 0.779
8.807 -2.358 7.079
Ba Mg Zn Cd
1 8 2 1
Direct
0.000 0.000 0.500
0.834 0.332 0.797
0.665 0.665 0.046
0.648 0.648 0.586
0.352 0.352 0.414
0.335 0.335 0.954
0.332 0.834 0.797
0.668 0.166 0.203
0.166 0.668 0.203
0.671 0.671 0.329
0.329 0.329 0.671
0.000 0.000 0.000
```

Summary:
Calculated total energy: -1.472 eV/atom
Total magnetization: 0.0 Bohr magnetons per cell
E_form: 0.93 kcal/mol of atoms



The following is a GGA-PBE calculation of Pm2Nd6DyY3 after structural relaxation, from the Alexandria database.

POSCAR file:
```
Pm2Nd6DyY3
1.0
-3.913 -4.120 -2.756
6.091 -1.469 0.786
-3.215 -2.826 11.194
Pm Nd Dy Y
2 6 1 3
Direct
0.333 0.667 0.000
0.667 0.333 0.000
0.916 0.584 0.749
0.751 0.751 0.251
0.084 0.416 0.251
0.584 0.916 0.749
0.249 0.249 0.749
0.416 0.084 0.251
0.000 0.000 0.000
0.167 0.833 0.500
0.833 0.167 0.500
0.500 0.500 0.500
```

Summary:
Calculated total energy: -5.165 eV/atom
Total magnetization: 0.0 Bohr magnetons per cell
E_form: 0.24 kcal/mol of atoms